{"formula": "K3HgH", "functional": "GGA-PBEsol", "state": "optimized geometry", "lattice": [[-3.1581, -1.2733, 4.2269], [-3.5230, -2.4047, -3.3567], [2.6601, -4.6965, 0.5727]], "species": ["K", "K", "K", "Hg", "H"], "frac_coords": [[0.0000, 0.0000, 0.5000], [0.5000, 0.0000, 0.0000], [0.0000, 0.5000, 0.0000], [0.5000, 0.5000, 0.5000], [0.0000, 0.0000, 0.0000]], "e_tot_ev_per_atom": -1.534}


{"formula": "BaIn2Sb4", "functional": "GGA-PBEsol", "state": "optimized geometry", "lattice": [[4.5237, 0.0000, 0.0000], [0.0000, 10.1543, 0.0000], [0.0000, 0.0000, 19.4102]], "species": ["In", "In", "In", "In", "In", "In", "In", "In", "Sb", "Sb", "Sb", "Sb", "Sb", "Sb", "Sb", "Sb", "Sb", "Sb", "Sb", "Sb", "Sb", "Sb", "Sb", "Sb", "Ba", "Ba", "Ba", "Ba"], "frac_coords": [[0.2500, 0.1222, 0.7292], [0.7500, 0.8471, 0.6338], [0.2500, 0.1529, 0.3662], [0.7500, 0.3778, 0.2292], [0.7500, 0.8778, 0.2708], [0.7500, 0.3471, 0.8662], [0.2500, 0.6529, 0.1338], [0.2500, 0.6222, 0.7708], [0.2500, 0.4726, 0.6424], [0.7500, 0.5977, 0.5682], [0.7500, 0.0977, 0.9318], [0.7500, 0.0274, 0.1424], [0.2500, 0.2027, 0.2245], [0.7500, 0.2973, 0.7245], [0.7500, 0.4998, 0.0955], [0.7500, 0.5274, 0.3576], [0.2500, 0.0002, 0.5955], [0.7500, 0.7973, 0.7755], [0.2500, 0.7027, 0.2755], [0.2500, 0.4023, 0.4318], [0.7500, 0.9998, 0.4045], [0.2500, 0.9023, 0.0682], [0.2500, 0.5002, 0.9045], [0.2500, 0.9726, 0.8576], [0.7500, 0.2471, 0.5449], [0.7500, 0.7471, 0.9551], [0.2500, 0.2529, 0.0449], [0.2500, 0.7529, 0.4551]], "e_form_raw_ev_per_atom": -0.3645}


{"formula": "TaMo6", "functional": "GGA-PBEsol", "state": "optimized geometry", "lattice": [[3.1427, 0.0000, 0.0000], [0.0000, 3.1427, 0.0000], [-1.5713, -1.5713, 11.0476]], "species": ["Ta", "Mo", "Mo", "Mo", "Mo", "Mo", "Mo"], "frac_coords": [[0.5000, 0.5000, 0.0000], [0.6433, 0.6433, 0.2865], [0.2155, 0.2155, 0.4309], [0.9257, 0.9257, 0.8515], [0.3567, 0.3567, 0.7135], [0.7845, 0.7845, 0.5691], [0.0743, 0.0743, 0.1485]], "e_form_ev_per_fu": -0.52}


{"formula": "BeCrTc2", "functional": "GGA-PBEsol", "state": "optimized geometry", "lattice": [[3.0737, 0.0000, 0.0000], [0.0000, 3.8692, 0.0000], [0.0000, 0.0000, 4.0902]], "species": ["Be", "Tc", "Tc", "Cr"], "frac_coords": [[0.5000, 0.5000, 0.0000], [0.5000, 0.0000, 0.5000], [0.0000, 0.0000, 0.0000], [0.0000, 0.5000, 0.5000]], "e_form_ev_per_fu": 0.58}


{"formula": "Ta2VRe", "functional": "GGA-PBEsol", "state": "optimized geometry", "lattice": [[-0.1031, 1.7936, -4.0731], [-1.2431, -2.4698, -3.4889], [-3.9045, 0.7707, -1.9945]], "species": ["Ta", "Ta", "V", "Re"], "frac_coords": [[0.7500, 0.7500, 0.7500], [0.2500, 0.2500, 0.2500], [0.5000, 0.5000, 0.5000], [0.0000, 0.0000, 0.0000]], "e_form_ev_per_fu": -1.05}


{"formula": "Ta2ZnBr", "functional": "GGA-PBEsol", "state": "optimized geometry", "lattice": [[3.9560, 0.0000, 0.0000], [0.0000, 3.9560, 0.0000], [-1.9780, -1.9780, 4.3852]], "species": ["Ta", "Ta", "Br", "Zn"], "frac_coords": [[0.7500, 0.2500, 0.5000], [0.0000, 0.0000, 0.0000], [0.2500, 0.7500, 0.5000], [0.5000, 0.5000, 0.0000]], "e_form_raw_ev_per_atom": 0.6984}


{"formula": "TaInMo2S", "functional": "GGA-PBEsol", "state": "optimized geometry", "lattice": [[4.5088, 0.0000, 0.0000], [0.0000, 4.8768, 0.0000], [0.0000, 0.0000, 4.8768]], "species": ["In", "Mo", "Mo", "S", "Ta"], "frac_coords": [[0.5000, 0.5000, 0.5000], [0.0000, 0.0000, 0.5000], [0.0000, 0.5000, 0.0000], [0.5000, 0.0000, 0.0000], [0.0000, 0.0000, 0.0000]], "e_form_raw_ev_per_atom": 1.3526}


{"formula": "CdIrOs2", "functional": "GGA-PBEsol", "state": "optimized geometry", "lattice": [[-2.1856, -1.0242, -1.2315], [-1.2003, -2.3999, 4.1262], [-1.9361, 4.5140, -0.3179]], "species": ["Os", "Os", "Cd", "Ir"], "frac_coords": [[0.0000, 0.5000, 0.0000], [0.0000, 0.0000, 0.5000], [0.5000, 0.0000, 0.0000], [0.5000, 0.5000, 0.5000]], "e_form_ev_per_fu": 2.43}


| no. | theoretical density (g/cm3) |
| --- | --- |
| 1 | 3.31 |
| 2 | 6.36 |
| 3 | 11.51 |
| 4 | 8.77 |
| 5 | 15.95 |
| 6 | 12.27 |
| 7 | 8.05 |
| 8 | 18.96 |